Compound: NdSmAsS
Source: Alexandria
Functional: PBE
Structure: optimized geometry

a = 4.159 Å, b = 4.159 Å, c = 7.157 Å
α = 73.11°, β = 73.11°, γ = 60.00°
Element x y z (fractional)
1 Nd 0.695 0.695 0.916
2 Sm 0.193 0.193 0.420
3 As 0.943 0.943 0.172
4 S 0.446 0.446 0.663

Energy relative to the elements, uncorrected in eV per atom: -1.798
E in eV per cell: -25.46
Total magnetization in μB per atom: 0.000